Compound: TlHgPb
Source: Alexandria
Functional: GGA-PBE
Structure: optimized geometry

It has space group P2_1/m (No. 11), with a = 5.648 Å, b = 5.757 Å, c = 6.028 Å, α = 90.00°, β = 115.65° and γ = 90.00°. The asymmetric unit holds Tl at (0.061, 0.250, 0.198), Hg at (0.282, 0.750, 0.487) and Pb at (0.386, 0.250, 0.843).

The final energy comes out at -2.120 eV/atom. The crystal system is monoclinic.